Record 1
Density functional theory data (PBEsol) for crystalline KLiSb2 at its relaxed geometry.

Formation energy without anion corrections: -0.38 eV/atom
Relative energy among the computed polymorphs: 0 meV per atom

```
data_KLiSb2
_chemical_formula_sum 'K1 Li1 Sb2'
_symmetry_space_group_name_H-M 'P m m m'
_symmetry_Int_Tables_number 47
_symmetry_space_group_name_Hall '-P 2 2'
_cell_length_a 3.417
_cell_length_b 4.312
_cell_length_c 7.346
_cell_angle_alpha 90.00
_cell_angle_beta 90.00
_cell_angle_gamma 90.00
loop_
_atom_site_label
_atom_site_fract_x
_atom_site_fract_y
_atom_site_fract_z
K1 0.000 0.000 0.000
Li1 0.000 0.000 0.500
Sb1 0.500 0.500 0.310
```



Record 2
Density functional theory data (PBEsol) for crystalline Co2RuBr at its relaxed geometry.

Formation energy without anion corrections: 0.55 eV/atom
Relative energy among the computed polymorphs: 0 meV per atom

```
data_Co2RuBr
_chemical_formula_sum 'Co2 Ru1 Br1'
_symmetry_space_group_name_H-M 'P m m 2'
_symmetry_Int_Tables_number 25
_symmetry_space_group_name_Hall 'P 2 -2'
_cell_length_a 2.837
_cell_length_b 3.007
_cell_length_c 6.759
_cell_angle_alpha 90.00
_cell_angle_beta 90.00
_cell_angle_gamma 90.00
loop_
_atom_site_label
_atom_site_fract_x
_atom_site_fract_y
_atom_site_fract_z
Co1 0.000 0.000 0.000
Co2 0.500 0.500 0.182
Ru1 0.000 0.000 0.381
Br1 0.500 0.000 0.699
```



Record 3
Density functional theory data (PBEsol) for crystalline TiGeTe6 at its relaxed geometry.

Formation energy without anion corrections: -0.31 eV/atom

```
data_TiGeTe6
_chemical_formula_sum 'Ti4 Ge4 Te24'
_symmetry_space_group_name_H-M 'C 1 2/m 1'
_symmetry_Int_Tables_number 12
_symmetry_space_group_name_Hall '-C 2y'
_cell_length_a 14.027
_cell_length_b 3.872
_cell_length_c 17.380
_cell_angle_alpha 90.00
_cell_angle_beta 105.27
_cell_angle_gamma 90.00
loop_
_atom_site_label
_atom_site_fract_x
_atom_site_fract_y
_atom_site_fract_z
Ti1 0.237 0.000 0.259
Ge1 0.221 0.000 0.406
Te1 0.084 0.500 0.255
Te2 0.088 0.000 0.115
Te3 0.121 0.500 0.463
Te4 0.127 0.000 0.652
Te5 0.158 0.500 0.016
Te6 0.183 0.000 0.823
```



Record 4
Density functional theory data (PBEsol) for crystalline Ba3Ga4O9 at its relaxed geometry.

Formation energy without anion corrections: -2.31 eV/atom

```
data_Ba3Ga4O9
_chemical_formula_sum 'Ba6 Ga8 O18'
_symmetry_space_group_name_H-M 'P -1'
_symmetry_Int_Tables_number 2
_symmetry_space_group_name_Hall '-P 1'
_cell_length_a 7.028
_cell_length_b 8.274
_cell_length_c 9.951
_cell_angle_alpha 85.28
_cell_angle_beta 73.95
_cell_angle_gamma 73.84
loop_
_atom_site_label
_atom_site_fract_x
_atom_site_fract_y
_atom_site_fract_z
Ba1 0.054 0.056 0.187
Ba2 0.179 0.563 0.160
Ba3 0.297 0.218 0.466
Ga1 0.259 0.733 0.433
Ga2 0.333 0.558 0.728
Ga3 0.406 0.179 0.803
Ga4 0.435 0.816 0.913
O1 0.035 0.800 0.364
O2 0.194 0.721 0.625
O3 0.221 0.377 0.771
O4 0.261 0.029 0.891
O5 0.282 0.670 0.894
O6 0.305 0.236 0.198
O7 0.389 0.514 0.362
O8 0.411 0.792 0.104
O9 0.428 0.883 0.379
```



Record 5
Density functional theory data (PBEsol) for crystalline AlIn2Mo at its relaxed geometry.

```
data_AlIn2Mo
_chemical_formula_sum 'Al1 In2 Mo1'
_symmetry_space_group_name_H-M 'P m m 2'
_symmetry_Int_Tables_number 25
_symmetry_space_group_name_Hall 'P 2 -2'
_cell_length_a 2.956
_cell_length_b 4.831
_cell_length_c 5.115
_cell_angle_alpha 90.00
_cell_angle_beta 90.00
_cell_angle_gamma 90.00
loop_
_atom_site_label
_atom_site_fract_x
_atom_site_fract_y
_atom_site_fract_z
Al1 0.000 0.000 0.000
In1 0.500 0.000 0.473
In2 0.500 0.500 0.798
Mo1 0.000 0.500 0.279
```



Record 6
Density functional theory data (PBEsol) for crystalline ZnO at its relaxed geometry.

Formation energy without anion corrections: -1.40 eV/atom

```
data_ZnO
_chemical_formula_sum 'Zn4 O4'
_symmetry_space_group_name_H-M 'P 42/m n m'
_symmetry_Int_Tables_number 136
_symmetry_space_group_name_Hall '-P 4n 2n'
_cell_length_a 5.530
_cell_length_b 5.530
_cell_length_c 3.245
_cell_angle_alpha 90.00
_cell_angle_beta 90.00
_cell_angle_gamma 90.00
loop_
_atom_site_label
_atom_site_fract_x
_atom_site_fract_y
_atom_site_fract_z
Zn1 0.182 0.182 0.000
O1 0.182 0.818 0.000
```



Record 7
Density functional theory data (PBEsol) for crystalline CaTlPb3 at its relaxed geometry.

```
data_CaTlPb3
_chemical_formula_sum 'Ca1 Tl1 Pb3'
_symmetry_space_group_name_H-M 'P m -3 m'
_symmetry_Int_Tables_number 221
_symmetry_space_group_name_Hall '-P 4 2 3'
_cell_length_a 5.741
_cell_length_b 5.741
_cell_length_c 5.741
_cell_angle_alpha 90.00
_cell_angle_beta 90.00
_cell_angle_gamma 90.00
loop_
_atom_site_label
_atom_site_fract_x
_atom_site_fract_y
_atom_site_fract_z
Ca1 0.000 0.000 0.000
Tl1 0.500 0.500 0.500
Pb1 0.000 0.000 0.500
```



Record 8
Density functional theory data (PBEsol) for crystalline CrC2Br2 at its relaxed geometry.

Formation energy without anion corrections: 1.63 eV/atom

```
data_CrC2Br2
_chemical_formula_sum 'Cr2 C4 Br4'
_symmetry_space_group_name_H-M 'P 4/m b m'
_symmetry_Int_Tables_number 127
_symmetry_space_group_name_Hall '-P 4 2ab'
_cell_length_a 5.920
_cell_length_b 5.920
_cell_length_c 4.379
_cell_angle_alpha 90.00
_cell_angle_beta 90.00
_cell_angle_gamma 90.00
loop_
_atom_site_label
_atom_site_fract_x
_atom_site_fract_y
_atom_site_fract_z
Cr1 0.000 0.000 0.000
C1 0.235 0.265 0.000
Br1 0.195 0.305 0.500
```



Record 9
Density functional theory data (PBEsol) for crystalline Co7Ge4 at its relaxed geometry.

```
data_Co7Ge4
_chemical_formula_sum 'Co7 Ge4'
_symmetry_space_group_name_H-M 'P -6 m 2'
_symmetry_Int_Tables_number 187
_symmetry_space_group_name_Hall 'P -6 2'
_cell_length_a 3.9144
_cell_length_b 3.9144
_cell_length_c 9.7415
_cell_angle_alpha 90.00
_cell_angle_beta 90.00
_cell_angle_gamma 120.00
loop_
_atom_site_label
_atom_site_fract_x
_atom_site_fract_y
_atom_site_fract_z
Co1 0.0000 0.0000 0.0000
Co2 0.3333 0.6667 0.2590
Co3 0.6667 0.3333 0.1271
Co4 0.6667 0.3333 0.3806
Ge1 0.0000 0.0000 0.2510
Ge2 0.3333 0.6667 0.0000
Ge3 0.3333 0.6667 0.5000
```



Record 10
Density functional theory data (PBEsol) for crystalline Be3CdO at its relaxed geometry.

Formation energy without anion corrections: -0.25 eV/atom

```
data_Be3CdO
_chemical_formula_sum 'Be3 Cd1 O1'
_symmetry_space_group_name_H-M 'P m -3 m'
_symmetry_Int_Tables_number 221
_symmetry_space_group_name_Hall '-P 4 2 3'
_cell_length_a 3.690
_cell_length_b 3.690
_cell_length_c 3.690
_cell_angle_alpha 90.00
_cell_angle_beta 90.00
_cell_angle_gamma 90.00
loop_
_atom_site_label
_atom_site_fract_x
_atom_site_fract_y
_atom_site_fract_z
Be1 0.000 0.000 0.500
Cd1 0.500 0.500 0.500
O1 0.000 0.000 0.000
```



Record 11
Density functional theory data (PBEsol) for crystalline ZnTc2P2 at its relaxed geometry.

```
data_ZnTc2P2
_chemical_formula_sum 'Zn2 Tc4 P4'
_symmetry_space_group_name_H-M 'I 4/m m m'
_symmetry_Int_Tables_number 139
_symmetry_space_group_name_Hall '-I 4 2'
_cell_length_a 3.414
_cell_length_b 3.414
_cell_length_c 12.024
_cell_angle_alpha 90.00
_cell_angle_beta 90.00
_cell_angle_gamma 90.00
loop_
_atom_site_label
_atom_site_fract_x
_atom_site_fract_y
_atom_site_fract_z
Zn1 0.000 0.000 0.000
Tc1 0.000 0.000 0.381
P1 0.000 0.500 0.250
```



Record 12
Density functional theory data (PBEsol) for crystalline CsRb at its relaxed geometry.

```
data_CsRb
_chemical_formula_sum 'Cs2 Rb2'
_symmetry_space_group_name_H-M 'C m m m'
_symmetry_Int_Tables_number 65
_symmetry_space_group_name_Hall '-C 2 2'
_cell_length_a 5.993
_cell_length_b 8.022
_cell_length_c 7.921
_cell_angle_alpha 90.00
_cell_angle_beta 90.00
_cell_angle_gamma 90.00
loop_
_atom_site_label
_atom_site_fract_x
_atom_site_fract_y
_atom_site_fract_z
Cs1 0.000 0.000 0.000
Rb1 0.000 0.500 0.500
```



For reference, total DFT energy (no corrections) by record: -3.43 -6.32 -4.61 -6.50 -5.25 -4.82 -2.86 -5.03 -6.88 -3.94 -7.37 -0.98 eV per atom.